(i)
Here is an optimized crystal structure of Ca2OsRh from the Alexandria database. Energies are from PBE.

Lattice parameters (Å, degrees): 3.0709 3.0709 8.3808 90.00 90.00 90.01
Sites, in units of the cell vectors:
Ca1 0.0000 0.0000 0.5114
Ca2 0.0000 0.0000 0.9886
Rh1 0.5000 0.5000 0.7500
Os1 0.5000 0.5000 0.2500

(ii)
Here is an optimized crystal structure of Ca2OsRh from the Alexandria database. Energies are from PBE.

Lattice parameters (Å, degrees): 5.2864 5.2864 2.9239 89.94 89.94 106.03
Sites, in units of the cell vectors:
Ca1 0.5000 0.5000 0.0000
Ca2 0.0000 0.0000 0.0000
Os1 0.5000 0.0000 0.5000
Rh1 0.0000 0.5000 0.5000

Stability summary - winner: (i); margin: 0.008 eV/atom.